No. 1
# Tm2InTe PBE optimized geometry
# Formation energy without anion corrections: -0.739 eV per atom
# Crystal system: monoclinic
# Offset from the most stable computed form: 103 meV/atom
data_Tm2InTe
_symmetry_space_group_name_H-M 'P 1 2/c 1'
_symmetry_Int_Tables_number 13
_cell_length_a 6.1562
_cell_length_b 6.1707
_cell_length_c 12.6912
_cell_angle_alpha 90.00
_cell_angle_beta 108.85
_cell_angle_gamma 90.00
loop_
_symmetry_equiv_pos_as_xyz
'x,y,z'
'-x,-y,-z'
'-x,y,-z+1/2'
'x,-y,z+1/2'
loop_
_atom_site_label
_atom_site_type_symbol
_atom_site_fract_x
_atom_site_fract_y
_atom_site_fract_z
Tm1 Tm 0.0640 0.2493 0.1213
Tm2 Tm 0.3845 0.2507 0.8842
In1 In 0.4216 0.2493 0.3554
Te1 Te 0.1239 0.2506 0.6285


No. 2
# TmInTe3 PBE optimized geometry
# Formation energy without anion corrections: -0.826 eV per atom
# Crystal system: orthorhombic
# Offset from the most stable computed form: 0 meV/atom
data_TmInTe3
_symmetry_space_group_name_H-M 'A m a 2'
_symmetry_Int_Tables_number 40
_cell_length_a 4.4208
_cell_length_b 24.9360
_cell_length_c 7.2797
_cell_angle_alpha 90.00
_cell_angle_beta 90.00
_cell_angle_gamma 90.00
loop_
_symmetry_equiv_pos_as_xyz
'x,y,z'
'-x,-y,z'
'-x+1/2,y,z'
'x+1/2,-y,z'
'x,y+1/2,z+1/2'
'-x,-y+1/2,z+1/2'
'-x+1/2,y+1/2,z+1/2'
'x+1/2,-y+1/2,z+1/2'
loop_
_atom_site_label
_atom_site_type_symbol
_atom_site_fract_x
_atom_site_fract_y
_atom_site_fract_z
Tm1 Tm 0.2500 0.1739 0.0000
In1 In 0.2500 0.3711 0.9237
Te1 Te 0.2500 0.0759 0.2558
Te2 Te 0.2500 0.2700 0.7313
Te3 Te 0.2500 0.3856 0.3029


No. 3
# TmIn2Te4 PBE optimized geometry
# Formation energy without anion corrections: -0.435 eV per atom
# Crystal system: tetragonal
data_TmIn2Te4
_symmetry_space_group_name_H-M 'I 4/m'
_symmetry_Int_Tables_number 87
_symmetry_space_group_name_Hall '-I 4'
_cell_length_a 8.2743
_cell_length_b 8.2743
_cell_length_c 7.5193
_cell_angle_alpha 90.00
_cell_angle_beta 90.00
_cell_angle_gamma 90.00
loop_
_atom_site_label
_atom_site_type_symbol
_atom_site_fract_x
_atom_site_fract_y
_atom_site_fract_z
Tm1 Tm 0.0000 0.0000 0.0000
In1 In 0.0000 0.5000 0.2500
Te1 Te 0.1918 0.6935 0.5000


No. 4
# Tm6InTe PBE optimized geometry
# Formation energy without anion corrections: -0.282 eV per atom
# Crystal system: trigonal
data_Tm6InTe
_symmetry_space_group_name_H-M 'R -3'
_symmetry_Int_Tables_number 148
_symmetry_space_group_name_Hall '-R 3'
_cell_length_a 8.5772
_cell_length_b 8.5772
_cell_length_c 10.5220
_cell_angle_alpha 90.00
_cell_angle_beta 90.00
_cell_angle_gamma 120.00
loop_
_atom_site_label
_atom_site_type_symbol
_atom_site_fract_x
_atom_site_fract_y
_atom_site_fract_z
Tm1 Tm 0.0026 0.7515 0.2512
In1 In 0.0000 0.0000 0.5000
Te1 Te 0.0000 0.0000 0.0000


No. 5
# Tm2In2Te7 PBE optimized geometry
# Formation energy without anion corrections: -0.611 eV per atom
# Crystal system: monoclinic
data_Tm2In2Te7
_symmetry_space_group_name_H-M 'C 1 2/m 1'
_symmetry_Int_Tables_number 12
_cell_length_a 9.0957
_cell_length_b 13.2818
_cell_length_c 7.7026
_cell_angle_alpha 90.00
_cell_angle_beta 111.97
_cell_angle_gamma 90.00
loop_
_symmetry_equiv_pos_as_xyz
'x,y,z'
'-x,-y,-z'
'-x,y,-z'
'x,-y,z'
'x+1/2,y+1/2,z'
'-x+1/2,-y+1/2,-z'
'-x+1/2,y+1/2,-z'
'x+1/2,-y+1/2,z'
loop_
_atom_site_label
_atom_site_type_symbol
_atom_site_fract_x
_atom_site_fract_y
_atom_site_fract_z
Tm1 Tm 0.0000 0.1894 0.0000
In1 In 0.2411 0.0000 0.6367
Te1 Te 0.0000 0.5000 0.5000
Te2 Te 0.1521 0.0000 0.2312
Te3 Te 0.2106 0.1898 0.7692


No. 6
# Tm6InTe5 PBE optimized geometry
# Formation energy without anion corrections: -1.076 eV per atom
# Crystal system: monoclinic
data_Tm6InTe5
_symmetry_space_group_name_H-M 'C 1 2/m 1'
_symmetry_Int_Tables_number 12
_cell_length_a 7.5029
_cell_length_b 12.9602
_cell_length_c 7.4824
_cell_angle_alpha 90.00
_cell_angle_beta 109.35
_cell_angle_gamma 90.00
loop_
_symmetry_equiv_pos_as_xyz
'x,y,z'
'-x,-y,-z'
'-x,y,-z'
'x,-y,z'
'x+1/2,y+1/2,z'
'-x+1/2,-y+1/2,-z'
'-x+1/2,y+1/2,-z'
'x+1/2,-y+1/2,z'
loop_
_atom_site_label
_atom_site_type_symbol
_atom_site_fract_x
_atom_site_fract_y
_atom_site_fract_z
Tm1 Tm 0.2361 0.0000 0.2536
Tm2 Tm 0.2394 0.1607 0.7401
In1 In 0.0000 0.0000 0.5000
Te1 Te 0.0000 0.1731 0.0000
Te2 Te 0.0000 0.3354 0.5000
Te3 Te 0.0000 0.5000 0.0000


No. 7
# Tm2InTe4 PBE optimized geometry
# Formation energy without anion corrections: -1.008 eV per atom
# Crystal system: monoclinic
# Offset from the most stable computed form: 16 meV/atom
data_Tm2InTe4
_symmetry_space_group_name_H-M 'C 1 2/m 1'
_symmetry_Int_Tables_number 12
_cell_length_a 16.2186
_cell_length_b 4.3095
_cell_length_c 7.6502
_cell_angle_alpha 90.00
_cell_angle_beta 115.27
_cell_angle_gamma 90.00
loop_
_symmetry_equiv_pos_as_xyz
'x,y,z'
'-x,-y,-z'
'-x,y,-z'
'x,-y,z'
'x+1/2,y+1/2,z'
'-x+1/2,-y+1/2,-z'
'-x+1/2,y+1/2,-z'
'x+1/2,-y+1/2,z'
loop_
_atom_site_label
_atom_site_type_symbol
_atom_site_fract_x
_atom_site_fract_y
_atom_site_fract_z
Tm1 Tm 0.2405 0.0000 0.2200
In1 In 0.0000 0.5000 0.5000
Te1 Te 0.1232 0.5000 0.9583
Te2 Te 0.1407 0.0000 0.4843


No. 8
# Tm7InTe2 PBE optimized geometry
# Formation energy without anion corrections: -0.044 eV per atom
# Crystal system: orthorhombic
data_Tm7InTe2
_symmetry_space_group_name_H-M 'C m m m'
_symmetry_Int_Tables_number 65
_symmetry_space_group_name_Hall '-C 2 2'
_cell_length_a 8.7416
_cell_length_b 14.6932
_cell_length_c 5.3458
_cell_angle_alpha 90.00
_cell_angle_beta 90.00
_cell_angle_gamma 90.00
loop_
_atom_site_label
_atom_site_type_symbol
_atom_site_fract_x
_atom_site_fract_y
_atom_site_fract_z
Tm1 Tm 0.0000 0.0000 0.0000
Tm2 Tm 0.0000 0.2748 0.5000
Tm3 Tm 0.1819 0.3821 0.0000
In1 In 0.0000 0.5000 0.5000
Te1 Te 0.0000 0.2003 0.0000


No. 9
# Tm4InTe3 PBE optimized geometry
# Formation energy without anion corrections: -1.000 eV per atom
# Crystal system: orthorhombic
data_Tm4InTe3
_symmetry_space_group_name_H-M 'C m m m'
_symmetry_Int_Tables_number 65
_symmetry_space_group_name_Hall '-C 2 2'
_cell_length_a 8.7805
_cell_length_b 12.2765
_cell_length_c 4.2622
_cell_angle_alpha 90.00
_cell_angle_beta 90.00
_cell_angle_gamma 90.00
loop_
_atom_site_label
_atom_site_type_symbol
_atom_site_fract_x
_atom_site_fract_y
_atom_site_fract_z
Tm1 Tm 0.0000 0.2410 0.0000
Tm2 Tm 0.2392 0.0000 0.5000
In1 In 0.0000 0.0000 0.0000
Te1 Te 0.0000 0.5000 0.0000
Te2 Te 0.2500 0.2500 0.5000


No. 10
# Tm3UIn3Te8 PBE optimized geometry
# Formation energy without anion corrections: -0.876 eV per atom
# Crystal system: monoclinic
data_Tm3UIn3Te8
_symmetry_space_group_name_H-M 'C 1 2/m 1'
_symmetry_Int_Tables_number 12
_cell_length_a 15.0615
_cell_length_b 8.6947
_cell_length_c 9.5821
_cell_angle_alpha 90.00
_cell_angle_beta 121.59
_cell_angle_gamma 90.00
loop_
_symmetry_equiv_pos_as_xyz
'x,y,z'
'-x,-y,-z'
'-x,y,-z'
'x,-y,z'
'x+1/2,y+1/2,z'
'-x+1/2,-y+1/2,-z'
'-x+1/2,y+1/2,-z'
'x+1/2,-y+1/2,z'
loop_
_atom_site_label
_atom_site_type_symbol
_atom_site_fract_x
_atom_site_fract_y
_atom_site_fract_z
Tm1 Tm 0.0000 0.0000 0.0000
Tm2 Tm 0.2500 0.2500 0.0000
U1 U 0.0000 0.5000 0.0000
In1 In 0.0000 0.5000 0.5000
In2 In 0.2500 0.2500 0.5000
Te1 Te 0.0116 0.2484 0.7842
Te2 Te 0.2390 0.0000 0.2156
Te3 Te 0.2397 0.5000 0.2167


No. 11
# Tm2UIn3Te6 PBE optimized geometry
# Formation energy without anion corrections: -0.762 eV per atom
# Crystal system: monoclinic
data_Tm2UIn3Te6
_symmetry_space_group_name_H-M 'C 1 2/m 1'
_symmetry_Int_Tables_number 12
_cell_length_a 7.5976
_cell_length_b 13.1509
_cell_length_c 8.5590
_cell_angle_alpha 90.00
_cell_angle_beta 107.21
_cell_angle_gamma 90.00
loop_
_symmetry_equiv_pos_as_xyz
'x,y,z'
'-x,-y,-z'
'-x,y,-z'
'x,-y,z'
'x+1/2,y+1/2,z'
'-x+1/2,-y+1/2,-z'
'-x+1/2,y+1/2,-z'
'x+1/2,-y+1/2,z'
loop_
_atom_site_label
_atom_site_type_symbol
_atom_site_fract_x
_atom_site_fract_y
_atom_site_fract_z
Tm1 Tm 0.0000 0.1671 0.0000
U1 U 0.0000 0.5000 0.0000
In1 In 0.0000 0.0000 0.5000
In2 In 0.0000 0.3357 0.5000
Te1 Te 0.2321 0.0000 0.2166
Te2 Te 0.2428 0.3300 0.2185


No. 12
# YTm2In3Te6 PBE optimized geometry
# Formation energy without anion corrections: -0.957 eV per atom
# Crystal system: monoclinic
data_YTm2In3Te6
_symmetry_space_group_name_H-M 'C 1 2/m 1'
_symmetry_Int_Tables_number 12
_cell_length_a 7.6002
_cell_length_b 13.1663
_cell_length_c 8.4966
_cell_angle_alpha 90.00
_cell_angle_beta 107.34
_cell_angle_gamma 90.00
loop_
_symmetry_equiv_pos_as_xyz
'x,y,z'
'-x,-y,-z'
'-x,y,-z'
'x,-y,z'
'x+1/2,y+1/2,z'
'-x+1/2,-y+1/2,-z'
'-x+1/2,y+1/2,-z'
'x+1/2,-y+1/2,z'
loop_
_atom_site_label
_atom_site_type_symbol
_atom_site_fract_x
_atom_site_fract_y
_atom_site_fract_z
Y1 Y 0.0000 0.0000 0.0000
Tm1 Tm 0.0000 0.3332 0.0000
In1 In 0.0000 0.1657 0.5000
In2 In 0.0000 0.5000 0.5000
Te1 Te 0.2355 0.5000 0.2162
Te2 Te 0.2408 0.1683 0.2171


No. 13
# Y3TmIn3Te8 PBE optimized geometry
# Formation energy without anion corrections: -1.014 eV per atom
# Crystal system: trigonal
data_Y3TmIn3Te8
_symmetry_space_group_name_H-M 'R -3 m'
_symmetry_Int_Tables_number 166
_symmetry_space_group_name_Hall '-R 3 2"'
_cell_length_a 8.7533
_cell_length_b 8.7533
_cell_length_c 23.6605
_cell_angle_alpha 90.00
_cell_angle_beta 90.00
_cell_angle_gamma 120.00
loop_
_atom_site_label
_atom_site_type_symbol
_atom_site_fract_x
_atom_site_fract_y
_atom_site_fract_z
Y1 Y 0.0000 0.5000 0.0000
Tm1 Tm 0.0000 0.0000 0.0000
In1 In 0.0000 0.5000 0.5000
Te1 Te 0.0000 0.0000 0.2576
Te2 Te 0.0022 0.5011 0.7412


No. 14
# U2InTe6 PBE optimized geometry
# Formation energy without anion corrections: -0.354 eV per atom
# Crystal system: tetragonal
data_U2InTe6
_symmetry_space_group_name_H-M 'P 42/m n m'
_symmetry_Int_Tables_number 136
_symmetry_space_group_name_Hall '-P 4n 2n'
_cell_length_a 7.1120
_cell_length_b 7.1120
_cell_length_c 13.4904
_cell_angle_alpha 90.00
_cell_angle_beta 90.00
_cell_angle_gamma 90.00
loop_
_atom_site_label
_atom_site_type_symbol
_atom_site_fract_x
_atom_site_fract_y
_atom_site_fract_z
U1 U 0.0000 0.0000 0.1655
In1 In 0.0000 0.0000 0.5000
Te1 Te 0.1956 0.1956 0.0000
Te2 Te 0.2017 0.2017 0.3291


No. 15
# U2InTe5 PBE optimized geometry
# Formation energy without anion corrections: -0.510 eV per atom
# Crystal system: orthorhombic
data_U2InTe5
_symmetry_space_group_name_H-M 'P b a m'
_symmetry_Int_Tables_number 55
_cell_length_a 8.5772
_cell_length_b 13.4113
_cell_length_c 4.1858
_cell_angle_alpha 90.00
_cell_angle_beta 90.00
_cell_angle_gamma 90.00
loop_
_symmetry_equiv_pos_as_xyz
'x,y,z'
'-x,-y,-z'
'-x,-y,z'
'x,y,-z'
'x+1/2,-y+1/2,-z'
'-x+1/2,y+1/2,z'
'-x+1/2,y+1/2,-z'
'x+1/2,-y+1/2,z'
loop_
_atom_site_label
_atom_site_type_symbol
_atom_site_fract_x
_atom_site_fract_y
_atom_site_fract_z
U1 U 0.0190 0.1756 0.0000
In1 In 0.0000 0.5000 0.5000
Te1 Te 0.0000 0.0000 0.5000
Te2 Te 0.1682 0.3898 0.0000
Te3 Te 0.1899 0.6941 0.5000


No. 16
# U3In5Te12 PBE optimized geometry
# Formation energy without anion corrections: -0.352 eV per atom
# Crystal system: cubic
data_U3In5Te12
_symmetry_space_group_name_H-M 'I a -3 d'
_symmetry_Int_Tables_number 230
_symmetry_space_group_name_Hall '-I 4bd 2c 3'
_cell_length_a 17.8223
_cell_length_b 17.8223
_cell_length_c 17.8223
_cell_angle_alpha 90.00
_cell_angle_beta 90.00
_cell_angle_gamma 90.00
loop_
_atom_site_label
_atom_site_type_symbol
_atom_site_fract_x
_atom_site_fract_y
_atom_site_fract_z
U1 U 0.0000 0.2500 0.1250
In1 In 0.0000 0.0000 0.0000
In2 In 0.0000 0.2500 0.3750
Te1 Te 0.0193 0.0687 0.6540


No. 17
# UInTe PBE optimized geometry
# Formation energy without anion corrections: -0.068 eV per atom
# Crystal system: tetragonal
data_UInTe
_symmetry_space_group_name_H-M 'I 4 m m'
_symmetry_Int_Tables_number 107
_symmetry_space_group_name_Hall 'I 4 -2'
_cell_length_a 3.7544
_cell_length_b 3.7544
_cell_length_c 11.5247
_cell_angle_alpha 90.00
_cell_angle_beta 90.00
_cell_angle_gamma 90.00
loop_
_atom_site_label
_atom_site_type_symbol
_atom_site_fract_x
_atom_site_fract_y
_atom_site_fract_z
U1 U 0.0000 0.0000 0.0000
In1 In 0.0000 0.0000 0.6802
Te1 Te 0.0000 0.0000 0.3523


No. 18
# UIn2Te3 PBE optimized geometry
# Formation energy without anion corrections: -0.407 eV per atom
# Crystal system: monoclinic
data_UIn2Te3
_symmetry_space_group_name_H-M 'C 1 2/m 1'
_symmetry_Int_Tables_number 12
_cell_length_a 7.9336
_cell_length_b 13.4238
_cell_length_c 8.3496
_cell_angle_alpha 90.00
_cell_angle_beta 107.42
_cell_angle_gamma 90.00
loop_
_symmetry_equiv_pos_as_xyz
'x,y,z'
'-x,-y,-z'
'-x,y,-z'
'x,-y,z'
'x+1/2,y+1/2,z'
'-x+1/2,-y+1/2,-z'
'-x+1/2,y+1/2,-z'
'x+1/2,-y+1/2,z'
loop_
_atom_site_label
_atom_site_type_symbol
_atom_site_fract_x
_atom_site_fract_y
_atom_site_fract_z
U1 U 0.0000 0.1699 0.0000
In1 In 0.0000 0.0000 0.5000
In2 In 0.0000 0.3443 0.5000
In3 In 0.0000 0.5000 0.0000
Te1 Te 0.2096 0.0000 0.2116
Te2 Te 0.2407 0.1810 0.7710